one | PuPa2S6 | PBE | relaxed

The space group is C2/m (No. 12) and the conventional cell measures 14.5572, 4.0856 and 9.7826 Å, with angles of 90.00, 105.02 and 90.00 degrees. The asymmetric unit holds Pu at (0.0000, 0.0000, 0.0000), Pa at (0.1618, 0.5000, 0.3310), S at (0.0394, 0.0000, 0.2969), S at (0.1314, 0.5000, 0.0577) and S at (0.2091, 0.5000, 0.6210).

two | PuPa2S6 | PBE | relaxed

The space group is C2/m (No. 12) and the conventional cell measures 13.6578, 5.1349 and 8.8980 Å, with angles of 90.00, 126.87 and 90.00 degrees. The asymmetric unit holds Pu at (0.0000, 0.0000, 0.0000), Pa at (0.1828, 0.0000, 0.6121), S at (0.0373, 0.0000, 0.7176), S at (0.1282, 0.5000, 0.0525) and S at (0.2450, 0.5000, 0.6243).

The relative energies come out as one 0; two 58, with values in meV/atom.

one | PuPaSeS | PBE | relaxed

The space group is F-43m (No. 216) and the conventional cell measures 6.9945, 6.9945 and 6.9945 Å, with angles of 90.00, 90.00 and 90.00 degrees. The asymmetric unit holds Pu at (0.0000, 0.0000, 0.0000), Pa at (0.0000, 0.0000, 0.5000), Se at (0.2500, 0.2500, 0.2500) and S at (0.2500, 0.2500, 0.7500).

two | PuPaSeS | PBE | relaxed

The space group is R3m (No. 160, hexagonal axes) and the conventional cell measures 3.8852, 3.8852 and 21.3419 Å, with angles of 90.00, 90.00 and 120.00 degrees. The asymmetric unit holds Pu at (0.0000, 0.0000, 0.0000), Pa at (0.0000, 0.0000, 0.1833), Se at (0.0000, 0.0000, 0.4246) and S at (0.0000, 0.0000, 0.5941).

The relative energies come out as one 186; two 0, with values in meV/atom.

one | PuPaSb2 | PBE | relaxed

The space group is R3m (No. 160, hexagonal axes) and the conventional cell measures 4.2495, 4.2495 and 23.4661 Å, with angles of 90.00, 90.00 and 120.00 degrees. The asymmetric unit holds Pu at (0.0000, 0.0000, 0.0000), Pa at (0.0000, 0.0000, 0.1691), Sb at (0.0000, 0.0000, 0.4185) and Sb at (0.0000, 0.0000, 0.5850).

two | PuPaSb2 | PBE | relaxed

The space group is P4/mmm (No. 123) and the conventional cell measures 3.7425, 3.7425 and 7.5448 Å, with angles of 90.00, 90.00 and 90.00 degrees. The asymmetric unit holds Pu at (0.0000, 0.0000, 0.0000), Pa at (0.0000, 0.0000, 0.5000) and Sb at (0.5000, 0.5000, 0.2561).

The relative energies come out as one 73; two 0, with values in meV/atom.

one | PuScPa2 | PBE | relaxed

The space group is P4/mmm (No. 123) and the conventional cell measures 4.6374, 4.6374 and 4.4827 Å, with angles of 90.00, 90.00 and 90.00 degrees. The asymmetric unit holds Pu at (0.0000, 0.0000, 0.0000), Sc at (0.5000, 0.5000, 0.0000) and Pa at (0.0000, 0.5000, 0.5000).

two | PuScPa2 | PBE | relaxed

The space group is Fm-3m (No. 225) and the conventional cell measures 7.2229, 7.2229 and 7.2229 Å, with angles of 90.00, 90.00 and 90.00 degrees. The asymmetric unit holds Pu at (0.0000, 0.0000, 0.0000), Sc at (0.0000, 0.0000, 0.5000) and Pa at (0.2500, 0.2500, 0.2500).

three | PuScPa2 | PBE | relaxed

The space group is R3m (No. 160, hexagonal axes) and the conventional cell measures 3.5713, 3.5713 and 26.3442 Å, with angles of 90.00, 90.00 and 120.00 degrees. The asymmetric unit holds Pu at (0.0000, 0.0000, 0.0000), Sc at (0.0000, 0.0000, 0.1607), Pa at (0.0000, 0.0000, 0.5996) and Pa at (0.0000, 0.0000, 0.7236).

The relative energies come out as one 0; two 51; three 236, with values in meV/atom.

one | Pu2Pa3Se8 | PBE | relaxed

The space group is C2/m (No. 12) and the conventional cell measures 14.6511, 8.2939 and 6.9936 Å, with angles of 90.00, 109.27 and 90.00 degrees. The asymmetric unit holds Pu at (0.2435, 0.0000, 0.1631), Pa at (0.0000, 0.2427, 0.5000), Pa at (0.0000, 0.5000, 0.0000), Se at (0.1163, 0.0000, 0.4199), Se at (0.1181, 0.5000, 0.4181) and Se at (0.1206, 0.2610, 0.9148).

two | Pu2Pa3Se8 | PBE | relaxed

The space group is P2/m (No. 10) and the conventional cell measures 7.2406, 4.1549 and 13.5822 Å, with angles of 90.00, 101.04 and 90.00 degrees. The asymmetric unit holds Pu at (0.2490, 0.0000, 0.2496), Pa at (0.2488, 0.5000, 0.7428), Pa at (0.5000, 0.0000, 0.0000), Se at (0.1155, 0.5000, 0.3623), Se at (0.1380, 0.0000, 0.8717), Se at (0.3728, 0.0000, 0.6320) and Se at (0.3731, 0.5000, 0.1212).

The relative energies come out as one 25; two 0, with values in meV/atom.

one | PuPaSe | PBE | relaxed

The space group is P3m1 (No. 156) and the conventional cell measures 3.7116, 3.7116 and 5.4968 Å, with angles of 90.00, 90.00 and 120.00 degrees. The asymmetric unit holds Pu at (0.0000, 0.0000, 0.0000), Pa at (0.6667, 0.3333, 0.2732) and Se at (0.3333, 0.6667, 0.6439).

two | PuPaSe | PBE | relaxed

The space group is Pmmn (No. 59, origin choice 2) and the conventional cell measures 3.7830, 3.8255 and 10.2885 Å, with angles of 90.00, 90.00 and 90.00 degrees. The asymmetric unit holds Pu at (0.2500, 0.2500, 0.2085), Pa at (0.2500, 0.2500, 0.5921) and Se at (0.2500, 0.2500, 0.8843).

The relative energies come out as one 0; two 38, with values in meV/atom.

one | Pu2Pa2Se7 | PBE | relaxed

The space group is P-4m2 (No. 115) and the conventional cell measures 4.8247, 4.8247 and 13.6597 Å, with angles of 90.00, 90.00 and 90.00 degrees. The asymmetric unit holds Pu at (0.0000, 0.5000, 0.1328), Pa at (0.0000, 0.5000, 0.6288), Se at (0.0000, 0.0000, 0.2453), Se at (0.0000, 0.0000, 0.5000), Se at (0.5000, 0.5000, 0.0000), Se at (0.5000, 0.5000, 0.2575) and Se at (0.5000, 0.5000, 0.5000).

two | Pu2Pa2Se7 | PBE | relaxed

The space group is Imm2 (No. 44) and the conventional cell measures 4.0608, 14.7516 and 9.0323 Å, with angles of 90.00, 90.00 and 90.00 degrees. The asymmetric unit holds Pu at (0.0000, 0.0000, 0.0000), Pu at (0.0000, 0.5000, 0.0459), Pa at (0.0000, 0.2427, 0.2322), Se at (0.0000, 0.0000, 0.3157), Se at (0.0000, 0.1135, 0.7180), Se at (0.0000, 0.3167, 0.9302) and Se at (0.0000, 0.3561, 0.5465).

The relative energies come out as one 93; two 0, with values in meV/atom.

one | Pu2PaSe4 | PBE | relaxed

The space group is Cmcm (No. 63) and the conventional cell measures 4.0181, 13.6247 and 13.7076 Å, with angles of 90.00, 90.00 and 90.00 degrees. The asymmetric unit holds Pu at (0.0000, 0.1343, 0.0668), Pa at (0.0000, 0.3794, 0.2500), Se at (0.0000, 0.0308, 0.2500), Se at (0.0000, 0.2236, 0.6276) and Se at (0.0000, 0.5000, 0.0000).

two | Pu2PaSe4 | PBE | relaxed

The space group is I-42d (No. 122) and the conventional cell measures 8.7352, 8.7352 and 8.7500 Å, with angles of 90.00, 90.00 and 90.00 degrees. The asymmetric unit holds Pu at (0.1229, 0.7500, 0.1250), Pa at (0.0000, 0.0000, 0.5000) and Se at (0.0740, 0.6763, 0.4520).

The relative energies come out as one 75; two 0, with values in meV/atom.

one | PuPa2Se4 | PBE | relaxed

The space group is I-42d (No. 122) and the conventional cell measures 8.6360, 8.6360 and 8.6910 Å, with angles of 90.00, 90.00 and 90.00 degrees. The asymmetric unit holds Pu at (0.0000, 0.0000, 0.0000), Pa at (0.1216, 0.7500, 0.6250) and Se at (0.0772, 0.6740, 0.9507).

two | PuPa2Se4 | PBE | relaxed

The space group is Cmcm (No. 63) and the conventional cell measures 4.0378, 13.2087 and 13.9876 Å, with angles of 90.00, 90.00 and 90.00 degrees. The asymmetric unit holds Pu at (0.0000, 0.1106, 0.2500), Pa at (0.0000, 0.3615, 0.0625), Se at (0.0000, 0.0000, 0.0000), Se at (0.0000, 0.2790, 0.6291) and Se at (0.0000, 0.4482, 0.2500).

The relative energies come out as one 0; two 50, with values in meV/atom.

one | Pu2Pa3Si4 | PBE | relaxed

The space group is P2_1/c (No. 14) and the conventional cell measures 7.5740, 7.5535 and 7.4227 Å, with angles of 90.00, 109.26 and 90.00 degrees. The asymmetric unit holds Pu at (0.1942, 0.1682, 0.0744), Pa at (0.2475, 0.6918, 0.2454), Pa at (0.5000, 0.0000, 0.5000), Si at (0.0808, 0.5218, 0.8744) and Si at (0.4822, 0.1196, 0.8753).

two | Pu2Pa3Si4 | PBE | relaxed

The space group is Cmce (No. 64) and the conventional cell measures 7.8910, 13.9654 and 7.7613 Å, with angles of 90.00, 90.00 and 90.00 degrees. The asymmetric unit holds Pu at (0.0000, 0.0995, 0.0125), Pa at (0.0000, 0.0000, 0.5000), Pa at (0.2500, 0.2275, 0.7500), Si at (0.0000, 0.1995, 0.4806) and Si at (0.2500, 0.0146, 0.7500).

The relative energies come out as one 0; two 210, with values in meV/atom.

one | Pu3PaSi2 | PBE | relaxed

The space group is C2/c (No. 15) and the conventional cell measures 6.7191, 7.8165 and 9.2981 Å, with angles of 90.00, 102.64 and 90.00 degrees. The asymmetric unit holds Pu at (0.0000, 0.0437, 0.2500), Pu at (0.2124, 0.0818, 0.5817), Pa at (0.0000, 0.3868, 0.7500) and Si at (0.1406, 0.3104, 0.0847).

two | Pu3PaSi2 | PBE | relaxed

The space group is R-3c (No. 167, hexagonal axes) and the conventional cell measures 5.4516, 5.4516 and 29.0491 Å, with angles of 90.00, 90.00 and 120.00 degrees. The asymmetric unit holds Pu at (0.0000, 0.3113, 0.2500), Pa at (0.0000, 0.0000, 0.0000) and Si at (0.0000, 0.0000, 0.1651).

The relative energies come out as one 0; two 210, with values in meV/atom.